Li3ScHg: relaxed, GGA-PBEsol.

Calculated values
size of the total moment: 0.315 μB/atom
density of states at the Fermi level: 1.74 states/eV per atom
mass density: 3.09 g/cm3
calculated total energy: -1.67 eV/atom
calculated formation energy: 0.941 eV per atom

Cell: 5.2332 5.2332 5.2332 Å, 90.00 90.00 90.00°
With the nearest neighbours (Å) after each atom.
Space group Pm-3m (No. 221)
Asymmetric unit:
1 Li 0.0000 0.0000 0.5000  2 Sc 2.62
2 Sc 0.0000 0.0000 0.0000  6 Li 2.62
3 Hg 0.5000 0.5000 0.5000  12 Li 3.70

TlAu: relaxed, GGA-PBEsol.

Calculated values
size of the total moment: 0.000 μB/atom
density of states at the Fermi level: 0.33 states/eV per atom
mass density: 14.82 g/cm3
calculated total energy: -3.25 eV/atom
calculated formation energy: 0.024 eV per atom

Cell: 3.3999 3.3999 7.7815 Å, 90.00 90.00 90.00°
With the nearest neighbours (Å) after each atom.
Space group P4/nmm (No. 129, origin choice 2)
Asymmetric unit:
1 Tl 0.2500 0.2500 0.1702  5 Au 3.02-3.30
2 Au 0.2500 0.2500 0.5944  4 Au 2.82, 4 Tl 3.02

BaLi2P: relaxed, GGA-PBEsol.

Calculated values
size of the total moment: 0.000 μB/atom
density of states at the Fermi level: 0.45 states/eV per atom
mass density: 3.24 g/cm3
calculated total energy: -3.31 eV/atom
calculated formation energy: -0.337 eV per atom

Cell: 7.2048 7.2048 7.2048 Å, 90.00 90.00 90.00°
With the nearest neighbours (Å) after each atom.
Space group F-43m (No. 216)
Asymmetric unit:
1 Ba 0.0000 0.0000 0.0000  4 Li 3.12, 4 P 3.12
2 Li 0.0000 0.0000 0.5000  4 P 3.12, 4 Li 3.12
3 Li 0.2500 0.2500 0.2500  4 Ba 3.12, 4 Li 3.12
4 P 0.2500 0.2500 0.7500  4 Ba 3.12, 4 Li 3.12

WAu3Cl: relaxed, GGA-PBEsol.

Calculated values
raw formation energy: 1.885 eV/atom
size of the total moment: 0.727 μB/atom
density of states at the Fermi level: 0.88 states/eV per atom
energy above the lowest structure with this stoichiometry: 505 meV per atom
mass density: 12.88 g/cm3
calculated total energy: -3.63 eV/atom

Cell: 4.7101 4.7101 4.7101 Å, 90.00 90.00 90.00°
With the nearest neighbours (Å) after each atom.
Space group Pm-3m (No. 221)
Asymmetric unit:
1 W 0.0000 0.0000 0.0000  12 Au 3.33
2 Au 0.0000 0.5000 0.5000  2 Cl 2.36
3 Cl 0.5000 0.5000 0.5000  6 Au 2.36

CaHf3Nb: relaxed, GGA-PBEsol.

Calculated values
size of the total moment: 0.000 μB/atom
density of states at the Fermi level: 1.50 states/eV per atom
mass density: 9.97 g/cm3
calculated total energy: -6.97 eV/atom
calculated formation energy: 1.918 eV per atom

Cell: 4.8113 4.8113 4.8113 Å, 90.00 90.00 90.00°
With the nearest neighbours (Å) after each atom.
Space group Pm-3m (No. 221)
Asymmetric unit:
1 Ca 0.0000 0.0000 0.0000  6 Hf 2.41
2 Hf 0.0000 0.0000 0.5000  2 Ca 2.41
3 Nb 0.5000 0.5000 0.5000  12 Hf 3.40

Ba2SbH2: relaxed, GGA-PBEsol.

Calculated values
size of the total moment: 0.000 μB/atom
density of states at the Fermi level: 0.30 states/eV per atom
energy above the lowest structure with this stoichiometry: 0 meV per atom
mass density: 5.06 g/cm3
calculated total energy: -3.74 eV/atom

Cell: 4.1810 4.1810 14.9696 Å, 90.00 90.00 90.00°
With the nearest neighbours (Å) after each atom.
Space group I4/mmm (No. 139)
Asymmetric unit:
1 Ba 0.0000 0.0000 0.1457  4 H 2.61
2 Sb 0.0000 0.0000 0.5000  8 Ba 3.67
3 H 0.0000 0.5000 0.2500  4 Ba 2.61

Mg2SiPt: relaxed, GGA-PBEsol.

Calculated values
raw formation energy: -0.638 eV/atom
size of the total moment: 0.000 μB/atom
density of states at the Fermi level: 0.24 states/eV per atom
mass density: 6.74 g/cm3
calculated total energy: -4.67 eV/atom

Cell: 4.2707 4.2707 8.4837 Å, 90.00 90.00 120.00°
With the nearest neighbours (Å) after each atom.
Space group P6_3/mmc (No. 194)
Asymmetric unit:
1 Mg 0.3333 0.6667 0.0838  4 Mg 2.82-2.85, 4 Pt 2.83-2.84, 3 Si 2.84
2 Si 0.0000 0.0000 0.2500  3 Pt 2.47
3 Pt 0.3333 0.6667 0.7500  3 Si 2.47

YSbPb4: relaxed, GGA-PBEsol.

Calculated values
raw formation energy: 0.017 eV/atom
size of the total moment: 0.000 μB/atom
density of states at the Fermi level: 0.72 states/eV per atom
mass density: 9.81 g/cm3
calculated total energy: -4.54 eV/atom

Cell: 8.8938 8.8938 8.8938 Å, 90.00 90.00 90.00°
With the nearest neighbours (Å) after each atom.
Space group F-43m (No. 216)
Asymmetric unit:
1 Y 0.0000 0.0000 0.0000  12 Pb 3.69, 4 Sb 3.85
2 Sb 0.2500 0.2500 0.2500  12 Pb 3.69, 4 Y 3.85
3 Pb 0.1252 0.1252 0.6252  6 Pb 3.14-3.15

NdTaO4: relaxed, GGA-PBEsol.

Calculated values
raw formation energy: -3.229 eV/atom
size of the total moment: 0.000 μB/atom
density of states at the Fermi level: 0.00 states/eV per atom
mass density: 8.26 g/cm3
calculated total energy: -9.68 eV/atom

Cell: 7.1000 11.2134 5.1044 Å, 90.00 129.66 90.00°
With the nearest neighbours (Å) after each atom.
Space group C2/c (No. 15)
Asymmetric unit:
1 Nd 0.0000 0.1325 0.2500  8 O 2.37-2.53
2 Ta 0.0000 0.4029 0.7500  4 O 1.87-1.95
3 O 0.1502 0.2929 0.6596  1 Ta 1.87
4 O 0.2351 0.4695 0.2067  1 Ta 1.95

BeSb2Te: relaxed, GGA-PBEsol.

Calculated values
raw formation energy: 0.306 eV/atom
size of the total moment: 0.000 μB/atom
density of states at the Fermi level: 0.52 states/eV per atom
energy above the lowest structure with this stoichiometry: 104 meV per atom
mass density: 6.70 g/cm3
calculated total energy: -3.85 eV/atom

Cell: 3.7464 5.5579 9.0445 Å, 90.00 90.00 90.00°
With the nearest neighbours (Å) after each atom.
Space group Cmm2 (No. 35)
Asymmetric unit:
1 Be 0.0000 0.0000 0.0000  2 Te 2.43, 2 Sb 2.65
2 Sb 0.0000 0.0000 0.5177  6 Sb 3.11-3.35
3 Sb 0.0000 0.5000 0.7925  2 Be 2.65
4 Te 0.0000 0.5000 0.1711  2 Be 2.43

CsHgCl3: relaxed, GGA-PBEsol.

Calculated values
raw formation energy: -1.192 eV/atom
size of the total moment: 0.000 μB/atom
energy above the lowest structure with this stoichiometry: 0 meV per atom
mass density: 4.71 g/cm3
calculated total energy: -2.70 eV/atom

Cell: 13.1593 13.1593 9.3003 Å, 90.00 90.00 120.00°
With the nearest neighbours (Å) after each atom.
Space group P3_2 (No. 145)
Asymmetric unit:
1 Cs 0.1004 0.5541 0.0000  7 Cl 3.48-3.90
2 Cs 0.1107 0.2276 0.3263  11 Cl 3.61-3.96
3 Cs 0.4473 0.2317 0.9747  9 Cl 3.57-3.94
4 Hg 0.1104 0.2240 0.8252  2 Cl 2.40
5 Hg 0.1135 0.5593 0.4881  3 Cl 2.40-2.68
6 Hg 0.4421 0.2210 0.4913  4 Cl 2.40-2.68
7 Cl 0.0799 0.3476 0.6619  1 Hg 2.40
8 Cl 0.0876 0.0691 0.9824  1 Hg 2.40
9 Cl 0.1441 0.7467 0.3385  2 Hg 2.68-2.69
10 Cl 0.2779 0.7212 0.7159  1 Hg 2.40
11 Cl 0.2825 0.2262 0.6648  2 Hg 2.68-2.70
12 Cl 0.3063 0.0986 0.3094  1 Hg 2.40
13 Cl 0.4468 0.0484 0.6397  2 Hg 2.68-2.71
14 Cl 0.4506 0.4182 0.3182  1 Hg 2.40
15 Cl 0.6094 0.3773 0.6122  1 Hg 2.41

BeInS2N: relaxed, GGA-PBEsol.

Calculated values
raw formation energy: 1.273 eV/atom
size of the total moment: 0.430 μB/atom
density of states at the Fermi level: 0.45 states/eV per atom
energy above the lowest structure with this stoichiometry: 973 meV per atom
mass density: 3.28 g/cm3
calculated total energy: -3.58 eV/atom

Cell: 5.0212 5.0212 4.0505 Å, 90.00 90.00 90.00°
With the nearest neighbours (Å) after each atom.
Space group P4/mmm (No. 123)
Asymmetric unit:
1 Be 0.0000 0.0000 0.0000  8 S 3.23, 4 N 3.55
2 In 0.5000 0.5000 0.5000  2 N 2.03
3 S 0.0000 0.5000 0.5000  2 In 2.51
4 N 0.5000 0.5000 0.0000  2 In 2.03

RbFeO2: relaxed, GGA-PBEsol.

Calculated values
raw formation energy: -1.235 eV/atom
size of the total moment: 0.680 μB/atom
density of states at the Fermi level: 0.46 states/eV per atom
mass density: 4.11 g/cm3
calculated total energy: -6.36 eV/atom

Cell: 8.2421 8.2421 8.2421 Å, 90.00 90.00 90.00°
With the nearest neighbours (Å) after each atom.
Space group Fd-3m (No. 227, origin choice 2)
Asymmetric unit:
1 Rb 0.1250 0.1250 0.1250  12 O 3.42, 4 Fe 3.57, 4 Rb 3.57
2 Fe 0.1250 0.1250 0.6250  4 O 1.78
3 O 0.0000 0.0000 0.5000  2 Fe 1.78

BeMoOs2: relaxed, GGA-PBEsol.

Calculated values
size of the total moment: 0.000 μB/atom
density of states at the Fermi level: 0.73 states/eV per atom
mass density: 15.19 g/cm3
calculated total energy: -9.96 eV/atom
calculated formation energy: 0.085 eV per atom

Cell: 2.7185 3.8563 5.0616 Å, 90.00 90.00 90.00°
With the nearest neighbours (Å) after each atom.
Space group Pmm2 (No. 25)
Asymmetric unit:
1 Be 0.0000 0.0000 0.0000  6 Os 2.47-2.60, 4 Mo 2.68, 2 Be 2.72
2 Mo 0.5000 0.5000 0.2527  1 Os 2.37
3 Os 0.0000 0.0000 0.5111  2 Be 2.47-2.59, 4 Mo 2.70, 6 Os 2.72-2.73
4 Os 0.5000 0.5000 0.7837  1 Mo 2.37, 4 Be 2.60

NaTlNi2As: relaxed, GGA-PBEsol.

Calculated values
size of the total moment: 0.109 μB/atom
density of states at the Fermi level: 1.32 states/eV per atom
mass density: 7.21 g/cm3
calculated total energy: -2.96 eV/atom
calculated formation energy: 1.335 eV per atom

Cell: 4.5114 4.5114 4.7468 Å, 90.00 90.00 90.00°
With the nearest neighbours (Å) after each atom.
Space group P4/mmm (No. 123)
Asymmetric unit:
1 Na 0.0000 0.0000 0.0000  4 Ni 2.26, 2 As 2.37
2 Tl 0.5000 0.5000 0.5000  4 As 3.19, 8 Ni 3.27
3 Ni 0.0000 0.5000 0.0000  2 Na 2.26
4 As 0.0000 0.0000 0.5000  2 Na 2.37

KSbTe2: relaxed, GGA-PBEsol.

Calculated values
raw formation energy: -0.287 eV/atom
size of the total moment: 0.000 μB/atom
density of states at the Fermi level: 0.28 states/eV per atom
mass density: 5.45 g/cm3
calculated total energy: -3.47 eV/atom

Cell: 9.2001 9.2091 3.1041 Å, 90.00 105.46 90.00°
With the nearest neighbours (Å) after each atom.
Space group C2/m (No. 12)
Asymmetric unit:
1 K 0.0000 0.0000 0.0000  2 K 3.10, 4 Te 3.25
2 Sb 0.0000 0.5000 0.0000  2 Sb 3.10, 4 Te 3.25
3 Te 0.2500 0.2500 0.0000  2 Te 3.10, 2 K 3.25, 2 Sb 3.25

LiZn2Rh: relaxed, GGA-PBEsol.

Calculated values
size of the total moment: 0.000 μB/atom
density of states at the Fermi level: 0.62 states/eV per atom
energy above the lowest structure with this stoichiometry: 305 meV per atom
mass density: 7.27 g/cm3
calculated total energy: -3.40 eV/atom
calculated formation energy: -0.083 eV per atom

Cell: 2.7882 4.5108 8.7424 Å, 90.00 90.00 90.00°
With the nearest neighbours (Å) after each atom.
Space group Cmm2 (No. 35)
Asymmetric unit:
1 Li 0.0000 0.0000 0.0000  2 Rh 2.51, 6 Li 2.65-2.79, 2 Zn 2.67
2 Zn 0.0000 0.0000 0.5204  2 Rh 2.52, 8 Zn 2.65-2.79
3 Zn 0.0000 0.5000 0.2603  8 Zn 2.65-2.79, 2 Li 2.67
4 Rh 0.0000 0.5000 0.7612  2 Li 2.51, 2 Zn 2.52, 6 Rh 2.65-2.79

B2OsF: relaxed, GGA-PBEsol.

Calculated values
raw formation energy: 1.144 eV/atom
size of the total moment: 0.179 μB/atom
density of states at the Fermi level: 0.82 states/eV per atom
mass density: 9.98 g/cm3
calculated total energy: -5.90 eV/atom

Cell: 5.3558 5.3558 5.3558 Å, 90.00 90.00 90.00°
With the nearest neighbours (Å) after each atom.
Space group Fm-3m (No. 225)
Asymmetric unit:
1 B 0.2500 0.2500 0.2500  4 F 2.32, 4 Os 2.32
2 Os 0.0000 0.0000 0.0000  8 B 2.32
3 F 0.0000 0.0000 0.5000  8 B 2.32

LiYPb: relaxed, GGA-PBEsol.

Calculated values
size of the total moment: 0.000 μB/atom
density of states at the Fermi level: 0.22 states/eV per atom
mass density: 7.26 g/cm3
calculated total energy: -4.85 eV/atom
calculated formation energy: -0.583 eV per atom

Cell: 7.3210 4.6611 8.1232 Å, 90.00 90.00 90.00°
With the nearest neighbours (Å) after each atom.
Space group Pnma (No. 62)
Asymmetric unit:
1 Li 0.1885 0.2500 0.0796  3 Pb 2.72-2.75
2 Y 0.0034 0.2500 0.7229  6 Li 3.16-3.45, 6 Pb 3.18-3.44
3 Pb 0.2343 0.7500 0.9114  3 Li 2.72-2.75

LiNbTe3: relaxed, GGA-PBEsol.

Calculated values
raw formation energy: 0.584 eV/atom
size of the total moment: 0.482 μB/atom
density of states at the Fermi level: 0.97 states/eV per atom
mass density: 6.71 g/cm3
calculated total energy: -4.09 eV/atom

Cell: 4.9240 4.9240 4.9240 Å, 90.00 90.00 90.00°
With the nearest neighbours (Å) after each atom.
Space group Pm-3m (No. 221)
Asymmetric unit:
1 Li 0.0000 0.0000 0.0000  6 Te 2.46
2 Nb 0.5000 0.5000 0.5000  12 Te 3.48
3 Te 0.0000 0.0000 0.5000  2 Li 2.46